This record from Alexandria via LeMat-Bulk describes MgBe2Rh after structural relaxation. The functional is PBE.

D(E_F) (states/eV/atom): 0.356
V (Å³/atom): 15.4
E_form (meV per atom): 132
Total moment (μB per cell): 0.00
Space group: I-42d (122)

a b c (Å): 8.349 8.349 8.349
angles (deg): 152.59 152.59 39.15
Element x y z (fractional)
Mg  0.000  0.000  0.000
Mg  0.750  0.250  0.500
Be  0.319  0.625  0.194
Be  0.375  0.569  0.694
Be  0.431  0.125  0.806
Be  0.875  0.681  0.306
Rh  0.250  0.750  0.500
Rh  0.500  0.500  0.000

---

This record from Alexandria via LeMat-Bulk describes MgBeRh after structural relaxation. The functional is PBE.

D(E_F) (states/eV/atom): 0.163
V (Å³/atom): 14.3
E_form (meV per atom): -84
Total moment (μB per cell): 0.00
Space group: P3m1 (156)

a b c (Å): 2.892 2.892 5.919
angles (deg): 90.00 90.00 120.00
Element x y z (fractional)
Mg  0.000  0.000  0.000
Be  0.667  0.333  0.625
Rh  0.333  0.667  0.367

---

This record from Alexandria via LeMat-Bulk describes Mg2BeRh after structural relaxation. The functional is PBE.

D(E_F) (states/eV/atom): 0.434
V (Å³/atom): 15.8
E_form (meV per atom): -236
Total moment (μB per cell): 0.00
Space group: Pm (6)

a b c (Å): 3.153 3.926 5.341
angles (deg): 90.00 107.02 90.00
Element x y z (fractional)
Mg  0.000  0.000  0.000
Mg  0.319  0.500  0.642
Be  0.709  0.000  0.419
Rh  0.604  0.500  0.210

---

This record from Alexandria via LeMat-Bulk describes Mg2BeRh after structural relaxation. The functional is PBE.

D(E_F) (states/eV/atom): 0.393
V (Å³/atom): 14.6
E_form (meV per atom): -184
Total moment (μB per cell): 0.00
Space group: I-4m2 (119)

a b c (Å): 4.818 4.818 4.818
angles (deg): 133.13 133.13 68.45
Element x y z (fractional)
Mg  0.000  0.000  0.000
Mg  0.750  0.250  0.500
Be  0.500  0.500  0.000
Rh  0.250  0.750  0.500

---

This record from Alexandria via LeMat-Bulk describes Mg2BeRh after structural relaxation. The functional is PBE.

D(E_F) (states/eV/atom): 0.536
V (Å³/atom): 15.0
E_form (meV per atom): -113
Total moment (μB per cell): 0.00
Space group: P4/mmm (123)

a b c (Å): 3.189 3.189 5.888
angles (deg): 90.00 90.00 90.00
Element x y z (fractional)
Mg  0.000  0.000  0.245
Mg  0.000  0.000  0.755
Be  0.500  0.500  0.500
Rh  0.500  0.500  0.000

---

This record from Alexandria via LeMat-Bulk describes Mg3BeRh after structural relaxation. The functional is PBE.

D(E_F) (states/eV/atom): 0.691
V (Å³/atom): 18.7
E_form (meV per atom): 501
Total moment (μB per cell): 0.00
Space group: Pm-3m (221)

a b c (Å): 4.536 4.536 4.536
angles (deg): 90.00 90.00 90.00
Element x y z (fractional)
Mg  0.000  0.000  0.500
Mg  0.000  0.500  0.000
Mg  0.500  0.000  0.000
Be  0.000  0.000  0.000
Rh  0.500  0.500  0.500

---

This record from Alexandria via LeMat-Bulk describes MgBe3Rh after structural relaxation. The functional is PBE.

D(E_F) (states/eV/atom): 0.481
V (Å³/atom): 14.2
E_form (meV per atom): 1480
Total moment (μB per cell): 0.00
Space group: Pm-3m (221)

a b c (Å): 4.138 4.138 4.138
angles (deg): 90.00 90.00 90.00
Element x y z (fractional)
Mg  0.000  0.000  0.000
Be  0.000  0.000  0.500
Be  0.000  0.500  0.000
Be  0.500  0.000  0.000
Rh  0.500  0.500  0.500

---

This record from Alexandria via LeMat-Bulk describes Mg2BeRh after structural relaxation. The functional is PBE.

D(E_F) (states/eV/atom): 0.278
V (Å³/atom): 15.8
E_form (meV per atom): -335
Total moment (μB per cell): 0.00
Space group: P4mm (99)

a b c (Å): 3.011 3.011 6.951
angles (deg): 90.00 90.00 90.00
Element x y z (fractional)
Mg  0.000  0.000  0.000
Mg  0.500  0.500  0.350
Be  0.500  0.500  0.732
Rh  0.000  0.000  0.607

---

- What is the E_form in the second record?
  -84 meV per atom

---

- D(E_F) of number 3 (Mg2BeRh)?
  0.434 states/eV/atom